Entry from Alexandria via LeMat-Bulk: crystalline Dy9Y3Er2 at its relaxed geometry (PBE).

Geometry as POSCAR:
```
Dy9Y3Er2
1.0
5.725 0.527 2.383
3.298 8.130 5.730
2.884 3.124 12.888
Dy Y Er
9 3 2
Cartesian
8.816 6.155 11.691 Dy
7.586 10.449 15.622 Dy
4.320 1.333 5.379 Dy
9.634 10.095 18.389 Dy
2.274 1.687 2.611 Dy
4.265 8.357 11.209 Dy
7.641 3.425 9.791 Dy
8.838 7.199 16.310 Dy
3.069 4.581 4.691 Dy
3.300 8.127 5.735 Y
5.510 4.025 7.018 Y
6.397 7.757 13.982 Y
5.489 5.121 11.908 Er
6.416 6.661 9.092 Er
```

Results
The total energy is -4.88 eV/atom. The formation energy is 0.118 eV per atom. The density of states at the Fermi level comes out at 22.10 states/eV per cell. Its space-group type is P1.

=====

Entry from Alexandria via LeMat-Bulk: crystalline CuNi3Pt2 at its relaxed geometry (PBE).

Geometry as POSCAR:
```
CuNi3Pt2
1.0
7.144 0.000 -3.930
-2.162 6.809 -3.930
-0.433 -0.591 7.671
Cu Ni Pt
4 12 8
Cartesian
1.424 1.946 2.588 Cu
3.125 4.271 -2.777 Cu
3.967 0.539 -1.248 Cu
5.235 2.273 1.058 Cu
0.396 4.937 -3.930 Ni
-1.107 5.810 -2.013 Ni
-0.026 2.405 -0.047 Ni
3.612 4.937 -5.700 Ni
4.585 1.872 -3.930 Ni
5.722 2.939 -1.864 Ni
2.248 5.514 -0.142 Ni
-1.324 5.514 1.823 Ni
3.480 -0.126 1.674 Ni
2.506 2.939 -0.095 Ni
1.369 1.872 -2.161 Ni
6.696 -0.126 -0.095 Ni
4.484 4.376 -0.308 Pt
0.789 4.208 1.434 Pt
1.735 0.619 0.118 Pt
0.777 4.192 -1.624 Pt
6.315 0.619 -2.402 Pt
5.356 4.192 -4.143 Pt
2.175 -0.157 3.953 Pt
5.870 0.011 2.212 Pt
```

Results
The energy above the most stable polymorph in this dataset comes out at 0.222 eV per atom. The total energy is -5.43 eV/atom. The formation energy is 0.162 eV per atom. The density of states at the Fermi level comes out at 30.82 states/eV per cell. Its space-group type is I4_1/amd.

=====

Entry from Alexandria via LeMat-Bulk: crystalline Zr12TlHg3 at its relaxed geometry (PBE).

Geometry as POSCAR:
```
Zr12TlHg3
1.0
4.453 0.000 0.000
0.000 4.453 0.000
0.000 0.000 17.839
Zr Tl Hg
12 1 3
Cartesian
2.227 2.227 0.000 Zr
2.227 2.227 4.484 Zr
2.227 2.227 8.919 Zr
2.227 2.227 13.355 Zr
2.227 0.000 2.256 Zr
2.227 0.000 6.696 Zr
2.227 0.000 11.143 Zr
2.227 0.000 15.583 Zr
0.000 2.227 2.256 Zr
0.000 2.227 6.696 Zr
0.000 2.227 11.143 Zr
0.000 2.227 15.583 Zr
0.000 0.000 0.000 Tl
0.000 0.000 4.483 Hg
0.000 0.000 8.919 Hg
0.000 0.000 13.356 Hg
```

Results
The total energy is -6.75 eV/atom. The formation energy is -0.130 eV per atom. The density of states at the Fermi level comes out at 15.03 states/eV per cell. Its space-group type is P4/mmm.

=====

Entry from Alexandria via LeMat-Bulk: crystalline Ta2CoNiH at its relaxed geometry (PBE).

Geometry as POSCAR:
```
Ta2CoNiH
1.0
4.056 0.000 0.000
0.000 4.056 0.000
0.000 0.000 3.635
Ni Co H Ta
1 1 1 2
Cartesian
0.000 0.000 1.818 Ni
2.028 2.028 1.818 Co
0.000 0.000 0.000 H
0.000 2.028 0.000 Ta
2.028 0.000 0.000 Ta
```

Results
The energy above the most stable polymorph in this dataset comes out at 0.004 eV per atom. The total energy is -8.10 eV/atom. The density of states at the Fermi level comes out at 3.70 states/eV per cell. Its space-group type is P4/mmm.

=====

Entry from Alexandria via LeMat-Bulk: crystalline MnPd3Au3 at its relaxed geometry (PBE).

Geometry as POSCAR:
```
MnPd3Au3
1.0
-0.879 4.406 -1.015
-7.084 -0.471 4.084
6.835 2.263 3.904
Mn Pd Au
2 6 6
Cartesian
1.537 4.656 3.202 Mn
-2.665 1.541 3.770 Mn
-0.059 4.941 5.819 Pd
0.114 3.777 0.620 Pd
4.551 5.250 3.169 Pd
-1.069 1.257 1.154 Pd
-1.241 2.421 6.353 Pd
-5.679 0.948 3.803 Pd
1.149 2.596 5.044 Au
1.255 2.003 2.384 Au
3.519 2.759 3.703 Au
-2.277 3.602 1.929 Au
-2.382 4.194 4.589 Au
-4.647 3.438 3.269 Au
```

Results
The energy above the most stable polymorph in this dataset comes out at 0.127 eV per atom. The total energy is -4.85 eV/atom. The formation energy is 0.089 eV per atom. The density of states at the Fermi level comes out at 8.24 states/eV per cell. Its space-group type is P6_3/m.

=====

Entry from Alexandria via LeMat-Bulk: crystalline Hf2SbRh at its relaxed geometry (PBE).

Geometry as POSCAR:
```
Hf2SbRh
1.0
-4.211 4.227 -4.668
4.276 -2.202 -5.852
-1.785 -1.303 -5.717
Sb Hf Rh
2 4 2
Cartesian
0.000 0.000 0.000 Sb
-2.982 1.968 -7.822 Sb
-2.385 1.881 -4.902 Hf
1.541 -1.015 -5.846 Hf
-1.154 -0.301 -8.453 Hf
-1.443 0.877 -13.272 Hf
0.032 1.012 -5.260 Rh
1.262 -1.247 -8.415 Rh
```

Results
The total energy is -8.16 eV/atom. The density of states at the Fermi level comes out at 5.26 states/eV per cell. Its space-group type is I-42d.

=====

Entry from Alexandria via LeMat-Bulk: crystalline Be2TlRu at its relaxed geometry (PBE).

Geometry as POSCAR:
```
Be2TlRu
1.0
0.000 2.971 2.971
2.971 0.000 2.971
2.971 2.971 0.000
Ru Tl Be
1 1 2
Cartesian
0.000 0.000 0.000 Ru
2.971 2.971 2.971 Tl
1.485 1.485 1.485 Be
4.456 4.456 4.456 Be
```

Results
The energy above the most stable polymorph in this dataset comes out at 0.308 eV per atom. The total energy is -4.37 eV/atom. The formation energy is 0.402 eV per atom. The density of states at the Fermi level comes out at 2.25 states/eV per cell. Its space-group type is Fm-3m.

=====

Entry from Alexandria via LeMat-Bulk: crystalline Nd2Tm7Tc2 at its relaxed geometry (PBE).

Geometry as POSCAR:
```
Nd2Tm7Tc2
1.0
3.474 0.000 0.563
0.799 9.001 6.069
0.028 1.100 10.830
Nd Tm Tc
2 7 2
Cartesian
3.305 8.146 12.610 Nd
1.120 3.224 4.087 Nd
3.030 0.452 3.303 Tm
3.419 4.381 11.902 Tm
1.797 1.427 10.914 Tm
2.437 5.001 6.965 Tm
2.013 6.619 9.582 Tm
1.094 7.839 15.249 Tm
0.532 2.141 7.717 Tm
0.643 7.403 7.032 Tc
2.030 3.820 9.472 Tc
```

Results
The total energy is -5.55 eV/atom. The formation energy is 0.045 eV per atom. The density of states at the Fermi level comes out at 10.49 states/eV per cell. Its space-group type is Imm2.